Below is a relaxed structure of Dy12YTm3, with properties calculated at the GGA-PBE level.

Summary:
Density = 8.46 g cm⁻³
Volume = 31.22 Å³ per atom
ΔH_f (0 K) = 0.02 eV per atom
Magnetic moment = 0.00 μB/f.u.
Uncorrected energy = -4.674 eV per atom

The structure in POSCAR format:
```
Dy12YTm3
1.0
-3.797 3.147 -0.819
-3.086 -3.091 2.430
4.093 9.403 17.157
Dy Y Tm
12 1 3
Cartesian
-3.442 0.028 0.806
-2.415 2.387 5.109
-1.395 4.730 9.384
-0.375 7.073 13.660
-1.382 2.760 1.756
-0.362 5.103 6.031
0.659 7.447 10.308
1.679 9.790 14.582
-1.027 -0.359 3.380
-0.007 1.984 7.655
1.014 4.328 11.932
2.034 6.671 16.207
0.000 0.000 0.000
1.026 2.357 4.301
2.047 4.702 8.579
3.067 7.046 12.856
```